# 1
## Cs2In3Br5 (PBE)

Data for a relaxed structure of Cs2In3Br5.

```
10
Lattice="8.902 -2.333 0.000 8.902 2.333 0.000 -3.114 0.000 9.723" Properties=species:S:1:pos:R:3 pbc="T T T"
Cs 2.452 0.000 2.206
Cs 12.239 0.000 7.517
In -1.557 0.000 4.862
In 7.005 0.000 2.350
In 7.686 0.000 7.373
Br 0.461 0.000 8.326
Br 4.893 0.000 5.122
Br 8.902 0.000 0.000
Br 9.798 0.000 4.601
Br 14.230 0.000 1.397
```

=====

# 2
## Cs2InBr (PBE)

Data for a relaxed structure of Cs2InBr.

```
8
Lattice="-5.112 5.112 4.496 5.112 -5.112 4.496 5.112 5.112 -4.496" Properties=species:S:1:pos:R:3 pbc="T T T"
Cs 7.669 2.069 -1.124
Cs 2.069 2.556 1.124
Cs -2.556 3.044 3.372
Cs 3.044 2.556 5.620
In 5.112 0.000 2.248
In 0.000 0.000 4.496
Br 0.000 0.000 0.000
Br 0.000 5.112 2.248
```

Properties
For the distance to the lowest polymorph of the same formula, the calculation gives 0.0 meV per atom.

=====

# 3
## CsInBr2 (PBE)

Data for a relaxed structure of CsInBr2.

```
4
Lattice="2.578 1.488 9.926 -2.578 1.488 9.926 0.000 -2.977 9.926" Properties=species:S:1:pos:R:3 pbc="T T T"
Cs 0.000 0.000 0.000
In 0.000 0.000 14.889
Br 0.000 0.000 3.278
Br 0.000 0.000 26.500
```

Properties
For the distance to the lowest polymorph of the same formula, the calculation gives 291.0 meV per atom.

=====

# 4
## CsInBr2 (PBE)

Data for a relaxed structure of CsInBr2.

```
8
Lattice="-3.823 3.823 8.044 3.823 -3.823 8.044 3.823 3.823 -8.044" Properties=species:S:1:pos:R:3 pbc="T T T"
Cs 0.000 0.000 0.000
Cs 0.000 3.823 4.022
In 3.823 0.000 4.022
In 0.000 0.000 8.044
Br 1.911 -1.601 6.033
Br 2.222 1.911 2.011
Br 1.911 5.423 -2.011
Br 1.601 1.911 10.055
```

Properties
For the distance to the lowest polymorph of the same formula, the calculation gives 76.0 meV per atom.

=====

# 5
## CsInBr3 (PBE)

Data for a relaxed structure of CsInBr3.

```
20
Lattice="5.337 -7.504 0.000 5.337 7.504 0.000 -2.538 0.000 11.789" Properties=species:S:1:pos:R:3 pbc="T T T"
Cs 3.433 7.436 8.842
Cs 4.702 2.136 2.947
Cs 3.433 -2.136 8.842
Cs 4.702 -7.436 2.947
In 2.072 2.616 9.167
In 4.794 2.616 8.517
In 3.341 -2.616 3.272
In 6.063 -2.616 2.622
Br 2.561 4.917 4.472
Br 1.411 4.780 10.477
Br 1.316 0.567 10.604
Br 5.455 4.780 7.207
Br 6.844 4.917 1.422
Br 2.585 -0.567 4.710
Br 5.550 0.567 7.079
Br 1.292 -4.917 10.367
Br 2.680 -4.780 4.582
Br 6.819 -0.567 1.185
Br 6.724 -4.780 1.312
Br 5.575 -4.917 7.317
```

=====

# 6
## CsInBr3 (PBE)

Data for a relaxed structure of CsInBr3.

```
5
Lattice="5.763 0.000 0.000 0.000 5.763 0.000 0.000 0.000 5.763" Properties=species:S:1:pos:R:3 pbc="T T T"
Cs 0.000 0.000 0.000
In 2.882 2.882 2.882
Br 0.000 2.882 2.882
Br 2.882 0.000 2.882
Br 2.882 2.882 0.000
```

=====

# 7
## CsInBr3 (PBE)

Data for a relaxed structure of CsInBr3.

```
10
Lattice="2.844 -10.150 0.000 2.844 10.150 0.000 0.000 0.000 7.500" Properties=species:S:1:pos:R:3 pbc="T T T"
Cs 2.844 7.031 5.625
Cs 2.844 -7.031 1.875
In 2.844 0.735 5.625
In 2.844 -0.735 1.875
Br 0.000 0.000 0.000
Br 0.000 0.000 3.750
Br 1.413 3.597 5.625
Br 1.413 -3.597 1.875
Br 4.276 3.597 5.625
Br 4.276 -3.597 1.875
```

=====

# 8
## CsInBr3 (PBE)

Data for a relaxed structure of CsInBr3.

```
20
Lattice="9.071 0.000 0.000 0.000 7.170 0.000 -5.469 0.000 13.631" Properties=species:S:1:pos:R:3 pbc="T T T"
Cs 0.718 0.919 2.223
Cs -2.016 2.666 9.039
Cs 5.619 4.504 4.593
Cs 2.884 6.251 11.408
In 3.263 4.170 0.086
In 0.529 6.584 6.901
In 3.073 0.585 6.730
In 0.339 2.999 13.546
Br -1.273 0.675 5.465
Br -4.008 2.910 12.281
Br -0.024 4.172 6.134
Br -2.759 6.582 12.949
Br 2.386 4.213 2.550
Br -0.349 6.542 9.366
Br 3.951 0.628 4.266
Br 1.217 2.957 11.081
Br 6.361 0.587 0.682
Br 3.627 2.998 7.498
Br 7.610 4.260 1.350
Br 4.876 6.495 8.166
```

=====

| no. | uncorrected formation energy (meV/atom) | energy (eV/atom) |
| --- | --- | --- |
| 1 | -1064 | -2.8929 |
| 2 | -573 | -2.1027 |
| 3 | -926 | -2.6602 |
| 4 | -1141 | -2.8752 |
| 5 | -1225 | -2.9467 |
| 6 | -1201 | -2.9229 |
| 7 | -895 | -2.6171 |
| 8 | -1223 | -2.9452 |